The following is a GGA-PBE calculation of a relaxed Tb8NiRu5 crystal, from Alexandria via LeMat-Bulk.

- density (g/cm³) = 9.735
- energy relative to the elements (eV per formula unit) = -2.9

Unit cell a=7.4091 b=7.4091 c=7.4091 alpha=109.46 beta=109.50 gamma=109.46
Positions (direct):
1 Tb 0.1405 0.7564 0.0144
2 Tb 0.9856 0.1261 0.7420
3 Tb 0.7434 0.2425 0.3534
4 Tb 0.6466 0.3900 0.8891
5 Tb 0.4991 0.6100 0.2566
6 Tb 0.6159 0.8739 0.8595
7 Tb 0.2580 0.2436 0.3841
8 Tb 0.1109 0.7575 0.5009
9 Ni 0.2500 0.5000 0.7500
10 Ru 0.0278 0.3888 0.1425
11 Ru 0.8575 0.8853 0.2463
12 Ru 0.7537 0.6112 0.6390
13 Ru 0.5000 0.0000 0.5000
14 Ru 0.3610 0.1147 0.9722